Entry 1:
Entry from the Alexandria database: crystalline SmSiAg at its relaxed geometry (GGA-PBE).

```
data_SmSiAg
_chemical_formula_sum 'Sm3 Si3 Ag3'
_cell_length_a 7.1724
_cell_length_b 7.1724
_cell_length_c 4.2717
_cell_angle_alpha 90.00
_cell_angle_beta 90.00
_cell_angle_gamma 120.00
_symmetry_space_group_name_H-M 'P -6 2 m'
_symmetry_Int_Tables_number 189
_symmetry_space_group_name_Hall 'P -6 -2'
loop_
_atom_site_label
_atom_site_fract_x
_atom_site_fract_y
_atom_site_fract_z
Sm1 0.0000 0.5832 0.0000
Si1 0.0000 0.0000 0.0000
Si2 0.3333 0.6667 0.5000
Ag1 0.0000 0.2486 0.5000
```

Results
formation energy from raw total energies: -0.568 eV/atom
total magnetic moment: 0.0 Bohr magnetons per cell
density of states at the Fermi level: 0.17 states/eV/atom

=====

Entry 2:
Entry from the Alexandria database: crystalline TbErMg4 at its relaxed geometry (GGA-PBE).

```
data_TbErMg4
_chemical_formula_sum 'Tb2 Er2 Mg8'
_cell_length_a 13.738
_cell_length_b 3.434
_cell_length_c 6.783
_cell_angle_alpha 90.00
_cell_angle_beta 104.26
_cell_angle_gamma 90.00
_symmetry_space_group_name_H-M 'C 1 2/m 1'
_symmetry_Int_Tables_number 12
loop_
_symmetry_equiv_pos_as_xyz
'x,y,z'
'-x,-y,-z'
'-x,y,-z'
'x,-y,z'
'x+1/2,y+1/2,z'
'-x+1/2,-y+1/2,-z'
'-x+1/2,y+1/2,-z'
'x+1/2,-y+1/2,z'
loop_
_atom_site_label
_atom_site_fract_x
_atom_site_fract_y
_atom_site_fract_z
Tb1 0.000 0.000 0.000
Er1 0.000 0.000 0.500
Mg1 0.174 0.500 0.339
Mg2 0.175 0.500 0.836
```

Results
total magnetic moment: 0.0 Bohr magnetons per cell
density of states at the Fermi level: 1.04 states/eV/atom
energy of formation: -0.042 eV per atom
energy above the lowest structure with this stoichiometry: 23 meV per atom

=====

Entry 3:
Entry from the Alexandria database: crystalline Ca2MgPt at its relaxed geometry (GGA-PBE).

```
data_Ca2MgPt
_chemical_formula_sum 'Ca4 Mg2 Pt2'
_cell_length_a 4.586
_cell_length_b 4.586
_cell_length_c 9.023
_cell_angle_alpha 90.00
_cell_angle_beta 90.00
_cell_angle_gamma 90.00
_symmetry_space_group_name_H-M 'I -4 m 2'
_symmetry_Int_Tables_number 119
_symmetry_space_group_name_Hall 'I -4 -2'
loop_
_atom_site_label
_atom_site_fract_x
_atom_site_fract_y
_atom_site_fract_z
Ca1 0.000 0.000 0.000
Ca2 0.000 0.500 0.250
Mg1 0.000 0.500 0.750
Pt1 0.000 0.000 0.500
```

Results
total magnetic moment: 0.0 Bohr magnetons per cell
density of states at the Fermi level: 0.65 states/eV/atom
energy of formation: -0.372 eV per atom